# 1
{
  "formula": "HfSn2O",
  "functional": "PBE",
  "state": "relaxed",
  "e_tot_ha_per_atom": -0.22002,
  "cell": [[6.747, 0.000, 0.000], [0.000, 6.747, 0.000], [3.374, 3.374, 3.638]],
  "species": ["Hf", "Hf", "Sn", "Sn", "Sn", "Sn", "O", "O"],
  "fractional_positions": [[0.000, 0.000, 0.000], [0.750, 0.250, 0.500], [0.545, 0.125, 0.250], [0.205, 0.625, 0.250], [0.375, 0.455, 0.750], [0.875, 0.795, 0.750], [0.500, 0.500, 0.000], [0.250, 0.750, 0.500]]
}

# 2
{
  "formula": "SrHfZrSnO6",
  "functional": "PBE",
  "state": "relaxed",
  "e_tot_ha_per_atom": -0.30160,
  "cell": [[0.000, 4.168, 4.168], [4.168, 0.000, 4.168], [4.168, 4.168, 0.000]],
  "species": ["Sr", "Hf", "Zr", "Sn", "O", "O", "O", "O", "O", "O"],
  "fractional_positions": [[0.250, 0.250, 0.250], [0.000, 0.000, 0.000], [0.500, 0.500, 0.500], [0.750, 0.750, 0.750], [0.248, 0.752, 0.248], [0.752, 0.248, 0.752], [0.248, 0.752, 0.752], [0.752, 0.248, 0.248], [0.248, 0.248, 0.752], [0.752, 0.752, 0.248]]
}

Repeat the second record exactly.
{
  "formula": "SrHfZrSnO6",
  "functional": "PBE",
  "state": "relaxed",
  "e_tot_ha_per_atom": -0.30160,
  "cell": [[0.000, 4.168, 4.168], [4.168, 0.000, 4.168], [4.168, 4.168, 0.000]],
  "species": ["Sr", "Hf", "Zr", "Sn", "O", "O", "O", "O", "O", "O"],
  "fractional_positions": [[0.250, 0.250, 0.250], [0.000, 0.000, 0.000], [0.500, 0.500, 0.500], [0.750, 0.750, 0.750], [0.248, 0.752, 0.248], [0.752, 0.248, 0.752], [0.248, 0.752, 0.752], [0.752, 0.248, 0.248], [0.248, 0.248, 0.752], [0.752, 0.752, 0.248]]
}